# 1
DFT (GGA-PBE) results for a relaxed MgAg2W crystal.

## Properties
The calculation puts the formation enthalpy at 0 K at 185 kJ/mol of formula units. Its crystal system is orthorhombic. Its space-group type is Pmm2, No. 25. As for the total moment: 0.0 μB/cell.

a = 2.7588 Å, b = 4.2592 Å, c = 5.9169 Å
α = 90.00°, β = 90.00°, γ = 90.00°
Closest atoms and distances in Å follow each position.
Positions (direct):
Ag  0.0000  0.0000  0.9914  6 Ag 2.76-2.98, 4 W 2.89, 2 Mg 2.95-2.97
Ag  0.5000  0.5000  0.2569  6 Ag 2.76-2.98, 4 Mg 2.90, 2 W 2.95-2.97
Mg  0.0000  0.0000  0.4932  2 Mg 2.76, 6 Ag 2.90-2.97, 4 W 2.98
W  0.5000  0.5000  0.7584  2 W 2.76, 6 Ag 2.89-2.97, 4 Mg 2.98

# 2
DFT (GGA-PBE) results for a relaxed Pm7SmSn4 crystal.

## Properties
The calculation puts the formation enthalpy at 0 K at -352 kJ/mol of formula units. Its crystal system is monoclinic. Its space-group type is C2/m, No. 12. As for the total moment: 0.0 μB/cell.

a = 5.8485 Å, b = 9.6428 Å, c = 7.6617 Å
α = 79.36°, β = 67.56°, γ = 72.35°
Closest atoms and distances in Å follow each position.
Positions (direct):
Pm  0.7901  0.8864  0.5335  2 Pm 3.21-3.54, 4 Sn 3.32-3.38
Pm  0.2099  0.1136  0.4665  2 Pm 3.21-3.54, 4 Sn 3.32-3.38
Pm  0.0586  0.6272  0.2555  3 Sn 3.16-3.31, 1 Pm 3.21
Pm  0.9414  0.3728  0.7445  3 Sn 3.16-3.31, 1 Pm 3.21
Pm  0.3157  0.6104  0.7581  4 Sn 3.04-3.26
Pm  0.5000  0.0000  0.0000  2 Sm 2.92, 4 Sn 3.08-3.22
Pm  0.6843  0.3896  0.2419  4 Sn 3.04-3.26
Sm  0.0000  0.0000  0.0000  2 Pm 2.92
Sn  0.5652  0.2337  0.6359  7 Pm 3.04-3.38, 1 Sn 3.23
Sn  0.4348  0.7663  0.3641  7 Pm 3.04-3.38, 1 Sn 3.23
Sn  0.6969  0.6728  0.9333  6 Pm 3.08-3.32, 1 Sn 3.23
Sn  0.3031  0.3272  0.0667  6 Pm 3.08-3.32, 1 Sn 3.23

# 3
DFT (GGA-PBE) results for a relaxed H2Ir2Pt crystal.

## Properties
Its crystal system is tetragonal. The value obtained for the energy relative to the lowest polymorph listed for this composition is 0.491 eV/atom. Its space-group type is P4/mbm, No. 127. As for the total moment: 0.0 μB/cell.

a = 6.6352 Å, b = 6.6352 Å, c = 2.6756 Å
α = 90.00°, β = 90.00°, γ = 90.00°
Closest atoms and distances in Å follow each position.
Positions (direct):
H  0.0941  0.5941  0.5000  1 H 1.77
H  0.5941  0.9059  0.5000  1 H 1.77
H  0.9059  0.4059  0.5000  1 H 1.77
H  0.4059  0.0941  0.5000  1 H 1.77
Ir  0.3678  0.8678  0.0000  4 H 2.03
Ir  0.8678  0.6322  0.0000  4 H 2.03
Ir  0.6322  0.1322  0.0000  4 H 2.03
Ir  0.1322  0.3678  0.0000  4 H 2.03
Pt  0.0000  0.0000  0.0000  4 Ir 2.59, 2 Pt 2.68
Pt  0.5000  0.5000  0.0000  4 Ir 2.59, 2 Pt 2.68

# 4
DFT (GGA-PBE) results for a relaxed PmPaTc2 crystal.

## Properties
The calculation puts the formation enthalpy at 0 K at 46 kJ/mol of formula units. Its crystal system is trigonal. The value obtained for the energy relative to the lowest polymorph listed for this composition is 0.230 eV/atom. Its space-group type is R-3m, No. 166. As for the total moment: 0.0 μB/cell.

a = 3.4214 Å, b = 3.4214 Å, c = 8.7638 Å
α = 78.74°, β = 78.74°, γ = 60.00°
Closest atoms and distances in Å follow each position.
Positions (direct):
Pa  0.0000  0.0000  0.0000  6 Tc 2.69
Tc  0.2619  0.2619  0.2143  3 Pa 2.69
Tc  0.7381  0.7381  0.7857  3 Pa 2.69
Pm  0.5000  0.5000  0.5000  6 Tc 3.14, 6 Pm 3.42

# 5
DFT (GGA-PBE) results for a relaxed InCuP2 crystal.

## Properties
The calculation puts the formation enthalpy at 0 K at 171 kJ/mol of formula units. Its crystal system is orthorhombic. Its space-group type is Cmmm, No. 65. As for the total moment: 0.0 μB/cell.

a = 4.4724 Å, b = 4.4724 Å, c = 3.6171 Å
α = 90.00°, β = 90.00°, γ = 107.44°
Closest atoms and distances in Å follow each position.
Positions (direct):
Cu  0.5000  0.0000  0.5000  2 In 2.65, 8 P 2.88
In  0.0000  0.5000  0.5000  2 Cu 2.65, 8 P 2.88
P  0.0000  0.0000  0.0000  2 P 2.65, 4 In 2.88, 4 Cu 2.88
P  0.5000  0.5000  0.0000  2 P 2.65, 4 Cu 2.88, 4 In 2.88

# 6
DFT (GGA-PBE) results for a relaxed KNaTl2Ga crystal.

## Properties
The calculation puts the formation enthalpy at 0 K at 19 kJ/mol of formula units. Its crystal system is tetragonal. Its space-group type is P4/mmm, No. 123. As for the total moment: 0.0 μB/cell.

a = 5.7185 Å, b = 5.7185 Å, c = 5.6847 Å
α = 90.00°, β = 90.00°, γ = 90.00°
Closest atoms and distances in Å follow each position.
Positions (direct):
Na  0.0000  0.0000  0.5000  2 Ga 2.84
Tl  0.0000  0.5000  0.0000  2 Ga 2.86
Tl  0.5000  0.0000  0.0000  2 Ga 2.86
K  0.5000  0.5000  0.5000  8 Tl 4.03, 4 Na 4.04
Ga  0.0000  0.0000  0.0000  2 Na 2.84, 4 Tl 2.86

# 7
DFT (GGA-PBE) results for a relaxed KSbOs2 crystal.

## Properties
Its crystal system is orthorhombic. Its space-group type is Pmmm, No. 47. The calculation puts the uncorrected formation energy at 1.164 eV per atom. As for the total moment: 0.0 μB/cell.

a = 2.9134 Å, b = 3.9284 Å, c = 7.8947 Å
α = 90.00°, β = 90.00°, γ = 90.00°
Closest atoms and distances in Å follow each position.
Positions (direct):
K  0.5000  0.5000  0.7500  2 K 2.91
Os  0.0000  0.0000  0.0851  3 Os 2.60-2.91, 4 Sb 2.77
Os  0.0000  0.0000  0.4149  3 Os 2.60-2.91, 4 Sb 2.77
Sb  0.5000  0.5000  0.2500  8 Os 2.77, 2 Sb 2.91

# 8
DFT (GGA-PBE) results for a relaxed Hg2SbIr crystal.

## Properties
Its crystal system is tetragonal. Its space-group type is P4/mmm, No. 123. The calculation puts the uncorrected formation energy at 0.632 eV per atom. As for the total moment: 0.0 μB/cell.

a = 5.0084 Å, b = 5.0084 Å, c = 3.3421 Å
α = 90.00°, β = 90.00°, γ = 90.00°
Closest atoms and distances in Å follow each position.
Positions (direct):
Hg  0.0000  0.0000  0.0000  4 Sb 3.01, 4 Ir 3.01, 2 Hg 3.34
Hg  0.5000  0.5000  0.0000  4 Sb 3.01, 4 Ir 3.01, 2 Hg 3.34
Ir  0.5000  0.0000  0.5000  8 Hg 3.01, 2 Ir 3.34
Sb  0.0000  0.5000  0.5000  8 Hg 3.01, 2 Sb 3.34

# 9
DFT (GGA-PBE) results for a relaxed FeTc2Ru crystal.

## Properties
The calculation puts the formation enthalpy at 0 K at 32 kJ/mol of formula units. Its crystal system is orthorhombic. The value obtained for the energy relative to the lowest polymorph listed for this composition is 0.077 eV/atom. Its space-group type is Pmmm, No. 47. As for the total moment: 1.3 μB/cell.

a = 2.6835 Å, b = 3.7719 Å, c = 5.3625 Å
α = 90.00°, β = 90.00°, γ = 90.00°
Closest atoms and distances in Å follow each position.
Positions (direct):
Fe  0.5000  0.5000  0.2500  8 Tc 2.64, 2 Ru 2.68, 2 Fe 2.68
Ru  0.5000  0.5000  0.7500  2 Fe 2.68, 2 Ru 2.68, 8 Tc 2.71
Tc  0.0000  0.0000  0.0130  4 Tc 2.54-2.82, 4 Fe 2.64, 4 Ru 2.71
Tc  0.0000  0.0000  0.4870  4 Tc 2.54-2.82, 4 Fe 2.64, 4 Ru 2.71

# 10
DFT (GGA-PBE) results for a relaxed TiTcS crystal.

## Properties
Its crystal system is monoclinic. Its space-group type is C2/m, No. 12. The calculation puts the uncorrected formation energy at -0.382 eV per atom. As for the total moment: 0.0 μB/cell.

a = 4.2734 Å, b = 4.2336 Å, c = 6.9972 Å
α = 114.88°, β = 90.00°, γ = 120.31°
Closest atoms and distances in Å follow each position.
Positions (direct):
Tc  0.8094  0.6187  0.7963  4 S 2.37-2.53, 2 Ti 2.59
Tc  0.1906  0.3813  0.2037  4 S 2.37-2.53, 2 Ti 2.59
Ti  0.6009  0.2019  0.3500  4 Tc 2.59-2.73, 3 S 2.66-2.67
Ti  0.3991  0.7981  0.6500  4 Tc 2.59-2.73, 3 S 2.66-2.67
S  0.8555  0.7109  0.1789  4 Tc 2.37-2.53
S  0.1445  0.2891  0.8211  4 Tc 2.37-2.53